Entry 1:
The following is a GGA-PBE calculation of an optimized crystal structure of HoZn2Cu10, from Alexandria via LeMat-Bulk.

Computed properties:
As for the density of states at the Fermi level: 4.13 states/eV per cell. As for the total energy: -3.80 eV per atom. As for the symmetry: No. 69. The volume comes out at 178 Å³ per cell. For the total magnetic moment, the calculation gives 0.000 μB per atom.

Lattice parameters (Å, degrees): 8.5404 6.5779 6.4473 81.94 49.69 48.37
Sites, in units of the cell vectors:
Ho: 0.0000 0.0000 0.0000
Zn: 0.0000 0.5000 0.0000
Zn: 0.5000 0.0000 0.5000
Cu: 0.0000 0.0000 0.5000
Cu: 0.0054 0.6451 0.3549
Cu: 0.2801 0.5018 0.4982
Cu: 0.3549 0.9946 0.0054
Cu: 0.4982 0.7199 0.2801
Cu: 0.5000 0.5000 0.0000
Cu: 0.5018 0.2801 0.7199
Cu: 0.6451 0.0054 0.9946
Cu: 0.7199 0.4982 0.5018
Cu: 0.9946 0.3549 0.6451

---

Entry 2:
The following is a GGA-PBE calculation of an optimized crystal structure of NdZrGa, from Alexandria via LeMat-Bulk.

Computed properties:
Its energy relative to the lowest polymorph listed for this composition is 0.000 eV/atom. As for the density of states at the Fermi level: 6.44 states/eV per cell. As for the total energy: -5.84 eV per atom. As for the symmetry: No. 129. The volume comes out at 152 Å³ per cell. For the total magnetic moment, the calculation gives 0.011 μB per atom.

Lattice parameters (Å, degrees): 4.3536 4.3536 8.0175 90.00 90.00 90.00
Sites, in units of the cell vectors:
Nd: 0.2500 0.2500 0.1522
Nd: 0.7500 0.7500 0.8478
Zr: 0.2500 0.7500 0.5000
Zr: 0.7500 0.2500 0.5000
Ga: 0.2500 0.2500 0.7470
Ga: 0.7500 0.7500 0.2530

---

Entry 3:
The following is a GGA-PBE calculation of an optimized crystal structure of NaAl3Cd, from Alexandria via LeMat-Bulk.

Computed properties:
Its energy relative to the lowest polymorph listed for this composition is 0.000 eV/atom. As for the density of states at the Fermi level: 2.96 states/eV per cell. As for the total energy: -2.07 eV per atom. As for the symmetry: No. 221. The volume comes out at 143 Å³ per cell. For the total magnetic moment, the calculation gives 0.000 μB per atom.

Lattice parameters (Å, degrees): 5.2258 5.2258 5.2258 90.00 90.00 90.00
Sites, in units of the cell vectors:
Na: 0.0000 0.0000 0.0000
Al: 0.0000 0.5000 0.5000
Al: 0.5000 0.0000 0.5000
Al: 0.5000 0.5000 0.0000
Cd: 0.5000 0.5000 0.5000

---

Entry 4:
The following is a GGA-PBE calculation of an optimized crystal structure of As3RuS, from Alexandria via LeMat-Bulk.

Computed properties:
Its energy relative to the lowest polymorph listed for this composition is 0.522 eV/atom. As for the density of states at the Fermi level: 5.26 states/eV per cell. As for the total energy: -4.35 eV per atom. As for the symmetry: No. 221. The volume comes out at 100 Å³ per cell. For the total magnetic moment, the calculation gives 0.203 μB per atom.

Lattice parameters (Å, degrees): 4.6444 4.6444 4.6444 90.00 90.00 90.00
Sites, in units of the cell vectors:
As: 0.0000 0.0000 0.5000
As: 0.0000 0.5000 0.0000
As: 0.5000 0.0000 0.0000
Ru: 0.5000 0.5000 0.5000
S: 0.0000 0.0000 0.0000

---

Entry 5:
The following is a GGA-PBE calculation of an optimized crystal structure of Tb8Ho3Tm4, from Alexandria via LeMat-Bulk.

Computed properties:
As for the density of states at the Fermi level: 24.48 states/eV per cell. As for the total energy: -4.19 eV per atom. As for the symmetry: No. 12. The volume comes out at 482 Å³ per cell. For the total magnetic moment, the calculation gives 0.000 μB per atom.

Lattice parameters (Å, degrees): 8.9791 8.9791 6.7347 109.62 109.62 83.86
Sites, in units of the cell vectors:
Tb: 0.2018 0.2018 0.1654
Tb: 0.2019 0.7981 0.0000
Tb: 0.2524 0.7476 0.5000
Tb: 0.2563 0.2563 0.7008
Tb: 0.7437 0.7437 0.2992
Tb: 0.7476 0.2524 0.5000
Tb: 0.7981 0.2019 0.0000
Tb: 0.7982 0.7982 0.8346
Ho: 0.0000 0.0000 0.5000
Ho: 0.0000 0.5000 0.0000
Ho: 0.5000 0.0000 0.0000
Tm: 0.0000 0.5000 0.5000
Tm: 0.5000 0.0000 0.5000
Tm: 0.5000 0.5000 0.0000
Tm: 0.5000 0.5000 0.5000